{
  "formula": "BeCoRe2",
  "functional": "PBE",
  "state": "relaxed",
  "lattice_angstrom": [[2.691, 0.000, 0.000], [0.000, 3.716, 0.000], [0.000, 0.000, 5.062]],
  "species": ["Be", "Co", "Re", "Re"],
  "frac_coords": [[0.000, 0.000, 0.000], [0.500, 0.500, 0.208], [0.000, 0.000, 0.487], [0.500, 0.500, 0.748]],
  "crystal_system": "orthorhombic",
  "space_group": "Pmm2, No. 25",
  "energy_ev_per_cell": -35.4
}

=====

{
  "formula": "Ce2PmTe",
  "functional": "PBE",
  "state": "relaxed",
  "lattice_angstrom": [[4.632, 0.000, 0.000], [0.000, 4.632, 0.000], [0.000, 0.000, 5.062]],
  "species": ["Ce", "Ce", "Pm", "Te"],
  "frac_coords": [[0.000, 0.500, 0.000], [0.500, 0.000, 0.000], [0.000, 0.000, 0.500], [0.500, 0.500, 0.500]],
  "crystal_system": "tetragonal",
  "space_group": "P4/mmm, No. 123",
  "e_form_raw_ev_per_fu": -2.19,
  "energy_ev_per_cell": -21.9,
  "polymorph_energy_mev_per_atom": 3
}

=====

{
  "formula": "CuNiHRh2",
  "functional": "PBE",
  "state": "relaxed",
  "lattice_angstrom": [[3.844, 0.000, 0.000], [0.000, 3.844, 0.000], [0.000, 0.000, 3.696]],
  "species": ["Cu", "Ni", "H", "Rh", "Rh"],
  "frac_coords": [[0.000, 0.000, 0.000], [0.500, 0.500, 0.000], [0.000, 0.000, 0.500], [0.000, 0.500, 0.500], [0.500, 0.000, 0.500]],
  "crystal_system": "tetragonal",
  "space_group": "P4/mmm, No. 123",
  "energy_ev_per_cell": -27.5,
  "polymorph_energy_mev_per_atom": 25
}

=====

{
  "formula": "Ac3Si2Ag",
  "functional": "PBE",
  "state": "relaxed",
  "lattice_angstrom": [[4.316, 2.492, 6.088], [-4.316, 2.492, 6.088], [0.000, -4.983, 6.088]],
  "species": ["Ac", "Ac", "Ac", "Ac", "Ac", "Ac", "Si", "Si", "Si", "Si", "Ag", "Ag"],
  "frac_coords": [[0.042, 0.750, 0.458], [0.250, 0.542, 0.958], [0.458, 0.042, 0.750], [0.542, 0.958, 0.250], [0.750, 0.458, 0.042], [0.958, 0.250, 0.542], [0.139, 0.139, 0.139], [0.361, 0.361, 0.361], [0.639, 0.639, 0.639], [0.861, 0.861, 0.861], [0.000, 0.000, 0.000], [0.500, 0.500, 0.500]],
  "crystal_system": "trigonal",
  "space_group": "R-3c, No. 167",
  "e_form_raw_ev_per_fu": -2.18,
  "energy_ev_per_cell": -56.4,
  "polymorph_energy_mev_per_atom": 79
}

=====

{
  "formula": "NpNi3",
  "functional": "PBE",
  "state": "relaxed",
  "lattice_angstrom": [[3.850, 0.000, 0.000], [0.000, 3.850, 0.000], [0.000, 0.000, 7.658]],
  "species": ["Np", "Np", "Ni", "Ni", "Ni", "Ni", "Ni", "Ni"],
  "frac_coords": [[0.000, 0.000, 0.000], [0.500, 0.500, 0.500], [0.000, 0.000, 0.500], [0.000, 0.500, 0.250], [0.000, 0.500, 0.750], [0.500, 0.000, 0.250], [0.500, 0.000, 0.750], [0.500, 0.500, 0.000]],
  "crystal_system": "tetragonal",
  "space_group": "I4/mmm, No. 139",
  "energy_ev_per_cell": -60.4
}

=====

{
  "formula": "TcAs2Br",
  "functional": "PBE",
  "state": "relaxed",
  "lattice_angstrom": [[8.674, 0.000, 0.000], [0.000, 3.443, 0.000], [-2.105, 0.000, 7.104]],
  "species": ["Tc", "Tc", "As", "As", "As", "As", "Br", "Br"],
  "frac_coords": [[0.000, 0.000, 0.000], [0.500, 0.500, 0.000], [0.279, 0.000, 0.934], [0.442, 0.000, 0.723], [0.779, 0.500, 0.934], [0.942, 0.500, 0.723], [0.137, 0.500, 0.273], [0.637, 0.000, 0.273]],
  "crystal_system": "monoclinic",
  "space_group": "Cm, No. 8",
  "e_form_raw_ev_per_fu": 0.08,
  "energy_ev_per_cell": -42.5,
  "polymorph_energy_mev_per_atom": 30
}

=====

{
  "formula": "BeMo3C",
  "functional": "PBE",
  "state": "relaxed",
  "lattice_angstrom": [[4.098, 0.000, 0.000], [0.000, 4.098, 0.000], [0.000, 0.000, 4.098]],
  "species": ["Be", "Mo", "Mo", "Mo", "C"],
  "frac_coords": [[0.000, 0.000, 0.000], [0.000, 0.500, 0.500], [0.500, 0.000, 0.500], [0.500, 0.500, 0.000], [0.500, 0.500, 0.500]],
  "crystal_system": "cubic",
  "space_group": "Pm-3m, No. 221",
  "energy_ev_per_cell": -43.9,
  "polymorph_energy_mev_per_atom": 0
}

=====

{
  "formula": "LaIr2Se",
  "functional": "PBE",
  "state": "relaxed",
  "lattice_angstrom": [[6.824, 0.000, 0.000], [0.000, 6.824, 0.000], [0.000, 0.000, 6.824]],
  "species": ["La", "La", "La", "La", "Ir", "Ir", "Ir", "Ir", "Ir", "Ir", "Ir", "Ir", "Se", "Se", "Se", "Se"],
  "frac_coords": [[0.000, 0.000, 0.000], [0.000, 0.500, 0.500], [0.500, 0.000, 0.500], [0.500, 0.500, 0.000], [0.250, 0.250, 0.250], [0.250, 0.250, 0.750], [0.250, 0.750, 0.250], [0.250, 0.750, 0.750], [0.750, 0.250, 0.250], [0.750, 0.250, 0.750], [0.750, 0.750, 0.250], [0.750, 0.750, 0.750], [0.000, 0.000, 0.500], [0.000, 0.500, 0.000], [0.500, 0.000, 0.000], [0.500, 0.500, 0.500]],
  "crystal_system": "cubic",
  "space_group": "Fm-3m, No. 225",
  "e_form_raw_ev_per_fu": 0.64,
  "energy_ev_per_cell": -102.0,
  "polymorph_energy_mev_per_atom": 715
}

=====

{
  "formula": "CoP2Rh",
  "functional": "PBE",
  "state": "relaxed",
  "lattice_angstrom": [[3.652, 0.000, 0.000], [0.000, 3.719, 0.000], [-0.358, 0.000, 4.127]],
  "species": ["Co", "P", "P", "Rh"],
  "frac_coords": [[0.000, 0.000, 0.000], [0.294, 0.500, 0.176], [0.706, 0.500, 0.824], [0.500, 0.000, 0.500]],
  "crystal_system": "monoclinic",
  "space_group": "P2/m, No. 10",
  "energy_ev_per_cell": -26.2,
  "polymorph_energy_mev_per_atom": 198
}

=====

{
  "formula": "Pm6CoOs2Br3",
  "functional": "PBE",
  "state": "relaxed",
  "lattice_angstrom": [[3.506, -6.065, 0.000], [3.506, 6.065, 0.000], [-2.339, 0.000, 7.812]],
  "species": ["Pm", "Pm", "Pm", "Pm", "Pm", "Pm", "Co", "Os", "Os", "Br", "Br", "Br"],
  "frac_coords": [[0.065, 0.394, 0.196], [0.262, 0.262, 0.803], [0.394, 0.065, 0.196], [0.606, 0.935, 0.804], [0.738, 0.738, 0.197], [0.935, 0.606, 0.804], [0.000, 0.000, 0.000], [0.334, 0.666, 0.000], [0.666, 0.334, 0.000], [0.168, 0.832, 0.500], [0.500, 0.500, 0.500], [0.832, 0.168, 0.500]],
  "crystal_system": "monoclinic",
  "space_group": "C2/m, No. 12",
  "e_form_raw_ev_per_fu": -8.05,
  "energy_ev_per_cell": -71.1
}

=====

{
  "formula": "Pm2BiIr",
  "functional": "PBE",
  "state": "relaxed",
  "lattice_angstrom": [[4.313, 0.000, 0.000], [-2.156, 3.735, 0.000], [0.000, 0.000, 21.753]],
  "species": ["Pm", "Pm", "Pm", "Pm", "Pm", "Pm", "Bi", "Bi", "Bi", "Ir", "Ir", "Ir"],
  "frac_coords": [[0.000, 0.000, 0.237], [0.000, 0.000, 0.763], [0.333, 0.667, 0.430], [0.333, 0.667, 0.903], [0.667, 0.333, 0.097], [0.667, 0.333, 0.570], [0.000, 0.000, 0.000], [0.333, 0.667, 0.667], [0.667, 0.333, 0.333], [0.000, 0.000, 0.500], [0.333, 0.667, 0.167], [0.667, 0.333, 0.833]],
  "crystal_system": "trigonal",
  "space_group": "R-3m, No. 166",
  "energy_ev_per_cell": -74.0,
  "polymorph_energy_mev_per_atom": 54
}

=====

{
  "formula": "CaDyCuAg",
  "functional": "PBE",
  "state": "relaxed",
  "lattice_angstrom": [[7.170, 0.000, 0.000], [0.000, 7.170, 0.000], [0.000, 0.000, 7.170]],
  "species": ["Ca", "Ca", "Ca", "Ca", "Dy", "Dy", "Dy", "Dy", "Cu", "Cu", "Cu", "Cu", "Ag", "Ag", "Ag", "Ag"],
  "frac_coords": [[0.000, 0.000, 0.000], [0.000, 0.500, 0.500], [0.500, 0.000, 0.500], [0.500, 0.500, 0.000], [0.000, 0.000, 0.500], [0.000, 0.500, 0.000], [0.500, 0.000, 0.000], [0.500, 0.500, 0.500], [0.250, 0.250, 0.750], [0.250, 0.750, 0.250], [0.750, 0.250, 0.250], [0.750, 0.750, 0.750], [0.250, 0.250, 0.250], [0.250, 0.750, 0.750], [0.750, 0.250, 0.750], [0.750, 0.750, 0.250]],
  "crystal_system": "cubic",
  "space_group": "F-43m, No. 216",
  "energy_ev_per_cell": -57.4
}